Computed, not measured: an optimized crystal structure of SrCr2SO at the PBE+U level of DFT.

Unit cell a=6.628 b=5.321 c=6.628 alpha=90.00 beta=90.00 gamma=90.00
Each line ends with the local moment (μB).
Fractional positions:
S 0.000 0.500 0.000  0.01
Sr 0.000 0.000 0.000  0.10
Cr 0.500 0.000 0.000  4.71
Cr 0.000 0.000 0.500  4.70
O 0.500 0.500 0.500  -1.14

Properties
final energy: -3.96 eV/atom
space-group type: P4/mmm (123)